Model a:
Compound: Ba2Ca7
Source: the Alexandria database
Functional: GGA-PBE
Structure: optimized geometry

Cell: 11.1063 11.1063 3.8593 Å, 90.00 90.00 120.00°
Space group P-62m (No. 189)
One atom of each set of equivalent atoms:
Ba1 0.3333 0.6667 0.0000 [2 per cell]
Ca1 0.0000 0.0000 0.5000 [1 per cell]
Ca2 0.0000 0.3447 0.5000 [3 per cell]
Ca3 0.0000 0.6943 0.0000 [3 per cell]

**DOS(E_F)**: 12.64 states/eV/f.u.
**Size of the total moment**: 0.0 Bohr magnetons per cell


Model b:
Compound: Ba2Ca7
Source: the Alexandria database
Functional: GGA-PBE
Structure: optimized geometry

Cell: 6.9827 6.9827 9.8304 Å, 90.00 90.00 120.00°
Space group P-31m (No. 162)
One atom of each set of equivalent atoms:
Ba1 0.3333 0.6667 0.0000 [2 per cell]
Ca1 0.0000 0.0000 0.0000 [1 per cell]
Ca2 0.0000 0.3280 0.6586 [6 per cell]

**DOS(E_F)**: 12.12 states/eV/f.u.
**Size of the total moment**: 0.0 Bohr magnetons per cell


It is model b that is the most stable of them.


Model a:
Compound: Ba7Ca2
Source: the Alexandria database
Functional: GGA-PBE
Structure: optimized geometry

Cell: 7.5414 7.5414 10.7112 Å, 90.00 90.00 120.00°
Space group P-31m (No. 162)
One atom of each set of equivalent atoms:
Ba1 0.0000 0.0000 0.0000 [1 per cell]
Ba2 0.0000 0.3381 0.6750 [6 per cell]
Ca1 0.3333 0.6667 0.0000 [2 per cell]

**DOS(E_F)**: 14.28 states/eV/f.u.
**Size of the total moment**: 0.0 Bohr magnetons per cell


Model b:
Compound: Ba7Ca2
Source: the Alexandria database
Functional: GGA-PBE
Structure: optimized geometry

Cell: 11.9442 11.9442 4.2675 Å, 90.00 90.00 120.00°
Space group P-62m (No. 189)
One atom of each set of equivalent atoms:
Ba1 0.0000 0.0000 0.0000 [1 per cell]
Ba2 0.0000 0.3609 0.0000 [3 per cell]
Ba3 0.0000 0.6851 0.5000 [3 per cell]
Ca1 0.3333 0.6667 0.5000 [2 per cell]

**DOS(E_F)**: 15.38 states/eV/f.u.
**Size of the total moment**: 0.0 Bohr magnetons per cell


It is model a that is the most stable of them.


Model a:
Compound: Ba6Ca
Source: the Alexandria database
Functional: GGA-PBE
Structure: optimized geometry

Cell: 9.4633 9.4633 9.4633 Å, 90.00 90.00 90.00°
Space group Im-3m (No. 229)
One atom of each set of equivalent atoms:
Ba1 0.0000 0.2500 0.5000 [12 per cell]
Ca1 0.0000 0.0000 0.0000 [2 per cell]

**DOS(E_F)**: 7.45 states/eV/f.u.
**Size of the total moment**: 0.0 Bohr magnetons per cell


Model b:
Compound: Ba6Ca
Source: the Alexandria database
Functional: GGA-PBE
Structure: optimized geometry

Cell: 6.9789 6.9789 29.8521 Å, 90.00 90.00 120.00°
Space group R-3m (No. 166, hexagonal axes)
One atom of each set of equivalent atoms:
Ba1 0.0000 0.0000 0.0712 [6 per cell]
Ba2 0.0000 0.0000 0.2120 [6 per cell]
Ba3 0.0000 0.0000 0.3590 [6 per cell]
Ca1 0.0000 0.0000 0.5000 [3 per cell]

**DOS(E_F)**: 10.46 states/eV/f.u.
**Size of the total moment**: 0.0 Bohr magnetons per cell


Model c:
Compound: Ba6Ca
Source: the Alexandria database
Functional: GGA-PBE
Structure: optimized geometry

Cell: 6.9572 6.9572 9.5065 Å, 90.00 90.00 90.00°
Space group P4/mmm (No. 123)
One atom of each set of equivalent atoms:
Ba1 0.0000 0.0000 0.0000 [1 per cell]
Ba2 0.0000 0.5000 0.2484 [4 per cell]
Ba3 0.5000 0.5000 0.5000 [1 per cell]
Ca1 0.5000 0.5000 0.0000 [1 per cell]

**DOS(E_F)**: 14.58 states/eV/f.u.
**Size of the total moment**: 0.0 Bohr magnetons per cell


It is model b that is the most stable of them.


Model a:
Compound: BaCaCd
Source: the Alexandria database
Functional: GGA-PBE
Structure: optimized geometry

Cell: 4.2117 4.2117 8.3346 Å, 90.00 90.00 120.00°
Space group P3m1 (No. 156)
One atom of each set of equivalent atoms:
Ba1 0.0000 0.0000 0.0000 [1 per cell]
Ca1 0.6667 0.3333 0.4252 [1 per cell]
Cd1 0.3333 0.6667 0.6861 [1 per cell]

**DOS(E_F)**: 3.40 states/eV/f.u.
**Size of the total moment**: 0.0 Bohr magnetons per cell


Model b:
Compound: BaCaCd
Source: the Alexandria database
Functional: GGA-PBE
Structure: optimized geometry

Cell: 5.7073 5.7073 8.0896 Å, 90.00 90.00 90.00°
Space group I-4m2 (No. 119)
One atom of each set of equivalent atoms:
Ba1 0.0000 0.0000 0.0000 [2 per cell]
Ca1 0.0000 0.0000 0.5000 [2 per cell]
Cd1 0.0000 0.5000 0.2500 [2 per cell]

**DOS(E_F)**: 4.61 states/eV/f.u.
**Size of the total moment**: 0.0 Bohr magnetons per cell


It is model b that is the most stable of them.